Record 1
Material: Al4NiMo
Method: DFT, GGA-PBE
State: optimized geometry

Summary:
Spin magnetization (μB/f.u.): 0.00
DFT formation energy (meV per atom): 125
Mass density (Mg/m³): 4.9

Cell: 7.083 7.083 7.083 Å, 90.00 90.00 90.00°
Space group F-43m (No. 216)
Symmetry-distinct sites (fractional):
1 Al 0.125 0.125 0.125 [16 per cell]
2 Ni 0.250 0.250 0.750 [4 per cell]
3 Mo 0.000 0.000 0.500 [4 per cell]


Record 2
Material: Tb2DyH
Method: DFT, GGA-PBE
State: optimized geometry

Summary:
Spin magnetization (μB/f.u.): 0.00
Energy above the most stable polymorph in this dataset (meV/atom): 0
Mass density (Mg/m³): 8.4

Cell: 3.6031 3.6031 25.4884 Å, 90.00 90.00 120.00°
Space group R-3m (No. 166, hexagonal axes)
Symmetry-distinct sites (fractional):
1 Tb 0.0000 0.0000 0.2210 [6 per cell]
2 Dy 0.0000 0.0000 0.0000 [3 per cell]
3 H 0.0000 0.0000 0.5000 [3 per cell]


Record 3
Material: Ba2In5Hg
Method: DFT, GGA-PBE
State: optimized geometry

Summary:
Spin magnetization (μB/f.u.): 0.00
DFT formation energy (meV per atom): -395
Mass density (Mg/m³): 6.8

Cell: 5.077 19.209 10.492 Å, 90.00 90.00 90.00°
Space group Cmcm (No. 63)
Symmetry-distinct sites (fractional):
1 Ba 0.000 0.000 0.000 [4 per cell]
2 Ba 0.000 0.201 0.250 [4 per cell]
3 In 0.000 0.190 0.606 [8 per cell]
4 In 0.000 0.352 0.525 [8 per cell]
5 In 0.000 0.407 0.250 [4 per cell]
6 Hg 0.000 0.444 0.750 [4 per cell]


Record 4
Material: TeRh6
Method: DFT, GGA-PBE
State: optimized geometry

Summary:
Spin magnetization (μB/f.u.): 0.00
VASP energy (eV/atom): -5.77
Mass density (Mg/m³): 8.0

Cell: 6.760 6.760 6.760 Å, 90.00 90.00 90.00°
Space group Im-3m (No. 229)
Symmetry-distinct sites (fractional):
1 Te 0.000 0.000 0.000 [2 per cell]
2 Rh 0.000 0.250 0.500 [12 per cell]


Record 5
Material: TiIn
Method: DFT, GGA-PBE
State: optimized geometry

Summary:
Spin magnetization (μB/f.u.): 0.61
DFT formation energy (meV per atom): 37
Mass density (Mg/m³): 6.1

Cell: 7.9372 7.9372 4.8780 Å, 90.00 90.00 120.00°
Space group P6_3/m (No. 176)
Symmetry-distinct sites (fractional):
1 Ti 0.0338 0.8183 0.2500 [6 per cell]
2 In 0.0865 0.6162 0.7500 [6 per cell]


Record 6
Material: PuZn2Au
Method: DFT, GGA-PBE
State: optimized geometry

Summary:
Spin magnetization (μB/f.u.): 5.75
DFT formation energy (meV per atom): -89
Mass density (Mg/m³): 11.4

Cell: 4.258 4.258 4.612 Å, 90.00 90.00 90.00°
Space group P4/mmm (No. 123)
Symmetry-distinct sites (fractional):
1 Pu 0.000 0.000 0.000 [1 per cell]
2 Zn 0.000 0.500 0.500 [2 per cell]
3 Au 0.500 0.500 0.000 [1 per cell]


Record 7
Material: AlCu2Ni
Method: DFT, GGA-PBE
State: optimized geometry

Summary:
Spin magnetization (μB/f.u.): 0.00
DFT formation energy (meV per atom): -97
Mass density (Mg/m³): 7.1

Cell: 2.6593 2.6593 24.2402 Å, 90.00 90.00 120.00°
Space group R3m (No. 160, hexagonal axes)
Symmetry-distinct sites (fractional):
1 Al 0.0000 0.0000 0.0000 [3 per cell]
2 Cu 0.0000 0.0000 0.5040 [3 per cell]
3 Cu 0.0000 0.0000 0.7526 [3 per cell]
4 Ni 0.0000 0.0000 0.2543 [3 per cell]


Record 8
Material: Ho8Ga3PSe4
Method: DFT, GGA-PBE
State: optimized geometry

Summary:
Spin magnetization (μB/f.u.): 0.00
VASP energy (eV/atom): -5.35
Mass density (Mg/m³): 8.0

Cell: 8.0389 8.0389 20.7650 Å, 90.00 90.00 120.00°
Space group R-3m (No. 166, hexagonal axes)
Symmetry-distinct sites (fractional):
1 Ho 0.0000 0.0000 0.2492 [6 per cell]
2 Ho 0.0059 0.5029 0.7469 [18 per cell]
3 Ga 0.0000 0.5000 0.0000 [9 per cell]
4 P 0.0000 0.0000 0.0000 [3 per cell]
5 Se 0.0000 0.0000 0.5000 [3 per cell]
6 Se 0.0000 0.5000 0.5000 [9 per cell]


Record 9
Material: Nd2Y2ErTm4
Method: DFT, GGA-PBE
State: optimized geometry

Summary:
Spin magnetization (μB/f.u.): 0.00
DFT formation energy (meV per atom): -1
Mass density (Mg/m³): 7.6

Cell: 18.589 3.581 9.519 Å, 90.00 115.76 90.00°
Space group C2/m (No. 12)
Symmetry-distinct sites (fractional):
1 Nd 0.165 0.000 0.001 [4 per cell]
2 Y 0.146 0.500 0.662 [4 per cell]
3 Er 0.000 0.500 0.000 [2 per cell]
4 Tm 0.020 0.000 0.334 [4 per cell]
5 Tm 0.185 0.500 0.337 [4 per cell]


Record 10
Material: K2In2Au
Method: DFT, GGA-PBE
State: optimized geometry

Summary:
Spin magnetization (μB/f.u.): 0.00
DFT formation energy (meV per atom): -103
Energy above the most stable polymorph in this dataset (meV/atom): 36
Mass density (Mg/m³): 4.2

Cell: 4.932 4.932 32.513 Å, 90.00 90.00 90.00°
Space group I4_1/amd (No. 141, origin choice 2)
Symmetry-distinct sites (fractional):
1 K 0.000 0.250 0.048 [8 per cell]
2 In 0.000 0.250 0.163 [8 per cell]
3 Au 0.000 0.250 0.375 [4 per cell]


Record 11
Material: Tm6Al2Ir
Method: DFT, GGA-PBE
State: optimized geometry

Summary:
Spin magnetization (μB/f.u.): 0.00
DFT formation energy (meV per atom): -270
Mass density (Mg/m³): 8.3

Cell: 4.908 7.012 14.577 Å, 90.00 90.00 90.00°
Space group Immm (No. 71)
Symmetry-distinct sites (fractional):
1 Tm 0.000 0.233 0.000 [4 per cell]
2 Tm 0.000 0.258 0.342 [8 per cell]
3 Al 0.000 0.500 0.167 [4 per cell]
4 Ir 0.000 0.500 0.500 [2 per cell]


Record 12
Material: Na5B2Se6
Method: DFT, GGA-PBE
State: optimized geometry

Summary:
Spin magnetization (μB/f.u.): 0.00
VASP energy (eV/atom): -3.77
Mass density (Mg/m³): 3.5

Cell: 11.746 14.064 3.478 Å, 90.00 90.00 90.00°
Space group Pbam (No. 55)
Symmetry-distinct sites (fractional):
1 Na 0.000 0.000 0.000 [2 per cell]
2 Na 0.047 0.241 0.000 [4 per cell]
3 Na 0.167 0.480 0.000 [4 per cell]
4 B 0.201 0.694 0.500 [4 per cell]
5 Se 0.054 0.618 0.500 [4 per cell]
6 Se 0.161 0.099 0.500 [4 per cell]
7 Se 0.208 0.788 0.000 [4 per cell]


| no. | D(E_F) (states/eV/f.u.) |
| --- | --- |
| 1 | 4.66 |
| 2 | 2.61 |
| 3 | 3.18 |
| 4 | 12.25 |
| 5 | 2.26 |
| 6 | 11.45 |
| 7 | 2.81 |
| 8 | 7.61 |
| 9 | 12.57 |
| 10 | 2.46 |
| 11 | 7.99 |
| 12 | 1.59 |